[1]
VASP calculation (PBE) on a geometry-optimized LaCuAu3 structure.

Cell lengths 6.2116, 6.1400, 6.2238 Å; angles 90.00, 114.52, 90.00 degrees
Closest atoms and distances in Å follow each position.
Space group P2_1/m (No. 11)
Inequivalent atoms, fractional coordinates:
La1 0.2253 0.2500 0.2755  3 Cu 3.17-3.43, 8 Au 3.22-3.40
Cu1 0.0787 0.7500 0.4222  5 Au 2.50-2.59
Au1 0.2844 0.0001 0.7845  2 Cu 2.59, 2 Au 2.85
Au2 0.3165 0.7500 0.1825  1 Cu 2.50

Computed properties:
Crystal system ... monoclinic
Energy relative to the lowest polymorph listed for this composition ... 0 meV/atom
Energy of formation ... -0.469 eV per atom
V ... 21.60 Å³ per atom
Total DFT energy (no corrections) ... -4.24 eV per atom

[2]
VASP calculation (PBE) on a geometry-optimized La4AsS2 structure.

Cell lengths 5.6920, 5.6920, 14.5309 Å; angles 90.00, 90.00, 90.00 degrees
Closest atoms and distances in Å follow each position.
Space group I4/mmm (No. 139)
Inequivalent atoms, fractional coordinates:
La1 0.0000 0.0000 0.2129  1 S 2.66
La2 0.0000 0.5000 0.0000  2 As 2.85
As1 0.0000 0.0000 0.0000  6 La 2.85-3.09
S1 0.0000 0.0000 0.3963  1 La 2.66

Computed properties:
Crystal system ... tetragonal
Energy relative to the lowest polymorph listed for this composition ... 530 meV/atom
V ... 33.63 Å³ per atom
ΔE_f (raw) ... -1.09 eV per atom
Total DFT energy (no corrections) ... -5.75 eV per atom